Crystalline Pm3Er2Tm2 at its relaxed geometry. Source: Alexandria via LeMat-Bulk, functional PBE.

```
Pm3Er2Tm2
1.0
3.564 0.000 0.000
1.774 5.907 0.000
0.004 1.103 10.619
Pm Er Tm
3 2 2
Direct
0.000 0.000 0.000
0.142 0.716 0.572
0.858 0.284 0.428
0.285 0.429 0.141
0.715 0.571 0.859
0.427 0.146 0.716
0.573 0.854 0.284
```

***

Crystalline Pm3Er3Tm2 at its relaxed geometry. Source: Alexandria via LeMat-Bulk, functional PBE.

```
Pm3Er3Tm2
1.0
-2.509 2.517 10.062
2.509 -2.517 10.062
2.509 2.517 -10.062
Pm Er Tm
3 3 2
Direct
0.000 0.000 0.000
0.374 0.874 0.500
0.626 0.126 0.500
0.127 0.627 0.500
0.500 0.500 0.000
0.873 0.373 0.500
0.249 0.249 0.000
0.751 0.751 0.000
```

***

Crystalline Pm6Er12Tm at its relaxed geometry. Source: Alexandria via LeMat-Bulk, functional PBE.

```
Pm6Er12Tm
1.0
5.515 3.184 5.805
-5.515 3.184 5.805
0.000 -6.368 5.805
Pm Er Tm
6 12 1
Direct
0.267 0.267 0.662
0.267 0.662 0.267
0.338 0.733 0.733
0.662 0.267 0.267
0.733 0.338 0.733
0.733 0.733 0.338
0.013 0.013 0.695
0.013 0.695 0.013
0.014 0.363 0.363
0.305 0.987 0.987
0.363 0.014 0.363
0.363 0.363 0.014
0.637 0.637 0.986
0.637 0.986 0.637
0.695 0.013 0.013
0.986 0.637 0.637
0.987 0.305 0.987
0.987 0.987 0.305
0.500 0.500 0.500
```

***

Crystalline Pm8Er6Tm at its relaxed geometry. Source: Alexandria via LeMat-Bulk, functional PBE.

```
Pm8Er6Tm
1.0
9.368 0.000 0.000
-4.684 8.113 0.000
0.000 0.000 6.520
Pm Er Tm
8 6 1
Direct
0.037 0.751 0.333
0.249 0.286 0.333
0.286 0.037 0.667
0.333 0.667 0.379
0.667 0.333 0.621
0.714 0.963 0.333
0.751 0.714 0.667
0.963 0.249 0.667
0.094 0.656 0.842
0.344 0.438 0.842
0.438 0.094 0.158
0.562 0.906 0.842
0.656 0.562 0.158
0.906 0.344 0.158
0.000 0.000 0.000
```

***

Short version: total DFT energy (no corrections) = -4.598, -4.587, -4.493, -4.482 eV per atom, in the order given.
Short version: Fermi-level density of states = 8.61, 11.77, 28.35, 22.49 states/eV per cell, in the order given.